A plane-wave DFT calculation with PBE was carried out for a relaxed structure of Li3CuAu4.

Calculated values
Total magnetization in μB/f.u.: 0.00
Energy of formation from the pure elements in meV/atom: -421
N(E_F) in states/eV/f.u.: 1.74
Energy in eV for the cell shown: -52.6

Cell: 6.0701 6.2113 7.1158 Å, 90.00 114.92 90.00°
Closest atoms and distances in Å follow each position.
Space group C2/m (No. 12)
Asymmetric unit:
Li 0.0000 0.0000 0.0000 [2 per cell]  8 Au 2.70-2.71
Li 0.2479 0.5000 0.4967 [4 per cell]  8 Au 2.69-2.72
Cu 0.0000 0.5000 0.0000 [2 per cell]  8 Au 2.70-2.71
Au 0.1248 0.2499 0.7499 [8 per cell]  6 Li 2.69-2.72, 2 Cu 2.70-2.71


A plane-wave DFT calculation with PBE was carried out for a relaxed structure of LiCu3Au3.

Calculated values
Total magnetization in μB/f.u.: 0.00
Energy of formation from the pure elements in meV/atom: -66
N(E_F) in states/eV/f.u.: 3.01
Energy in eV for the cell shown: -98.0

Cell: 8.3330 8.6830 6.2330 Å, 90.00 90.00 90.00°
Closest atoms and distances in Å follow each position.
Space group Cmmm (No. 65)
Asymmetric unit:
Li 0.2188 0.0000 0.0000 [4 per cell]  6 Au 2.68-2.90, 2 Cu 2.93
Cu 0.0000 0.2259 0.5000 [4 per cell]  2 Cu 2.56, 6 Au 2.62-2.77
Cu 0.0000 0.2646 0.0000 [4 per cell]  6 Au 2.60-2.66
Cu 0.1967 0.0000 0.5000 [4 per cell]  2 Cu 2.56, 4 Au 2.71
Au 0.0000 0.5000 0.2729 [4 per cell]  6 Cu 2.66-2.90, 1 Au 2.83, 2 Li 2.90
Au 0.2500 0.2500 0.2486 [8 per cell]  6 Cu 2.60-2.71, 2 Li 2.68


A plane-wave DFT calculation with PBE was carried out for a relaxed structure of LiCuAu2.

Calculated values
Total magnetization in μB/f.u.: 0.00
Energy of formation from the pure elements in meV/atom: -310
N(E_F) in states/eV/f.u.: 0.90
Energy in eV for the cell shown: -27.6

Cell: 6.0587 7.0546 2.8449 Å, 90.00 90.00 90.00°
Closest atoms and distances in Å follow each position.
Space group Cmmm (No. 65)
Asymmetric unit:
Li 0.0000 0.0000 0.0000 [2 per cell]  8 Au 2.73, 2 Li 2.84, 2 Cu 3.03
Cu 0.0000 0.5000 0.0000 [2 per cell]  8 Au 2.73, 2 Cu 2.84, 2 Li 3.03
Au 0.2500 0.2500 0.5000 [4 per cell]  4 Li 2.73, 4 Cu 2.73, 4 Au 2.84-3.03


A plane-wave DFT calculation with PBE was carried out for a relaxed structure of Li6CuAu.

Calculated values
Total magnetization in μB/f.u.: 0.00
Energy of formation from the pure elements in meV/atom: -188
N(E_F) in states/eV/f.u.: 1.82
Energy in eV for the cell shown: -20.4

Cell: 5.6708 5.6708 4.5088 Å, 90.00 90.00 120.00°
Closest atoms and distances in Å follow each position.
Space group P-6m2 (No. 187)
Asymmetric unit:
Li 0.0149 0.5075 0.0000 [3 per cell]  8 Li 2.71-2.96, 2 Au 2.74, 2 Cu 2.84
Li 0.3190 0.1595 0.5000 [3 per cell]  8 Li 2.71-2.96, 2 Cu 2.75, 2 Au 2.84
Cu 0.0000 0.0000 0.0000 [1 per cell]  12 Li 2.75-2.84
Au 0.3333 0.6667 0.5000 [1 per cell]  12 Li 2.74-2.84


A plane-wave DFT calculation with PBE was carried out for a relaxed structure of Li2Cu2Au.

Calculated values
Total magnetization in μB/f.u.: 0.00
Energy of formation from the pure elements in meV/atom: -111
N(E_F) in states/eV/f.u.: 1.39
Energy in eV for the cell shown: -31.7

Cell: 6.7547 6.7547 3.1368 Å, 90.00 90.00 90.00°
Closest atoms and distances in Å follow each position.
Space group P4/mbm (No. 127)
Asymmetric unit:
Li 0.1730 0.3270 0.0000 [4 per cell]  6 Cu 2.48-2.58
Cu 0.1260 0.6260 0.5000 [4 per cell]  1 Cu 2.41, 6 Li 2.48-2.58, 2 Au 2.67
Au 0.0000 0.0000 0.5000 [2 per cell]  4 Cu 2.67, 8 Li 2.95


A plane-wave DFT calculation with PBE was carried out for a relaxed structure of LiCuAu2.

Calculated values
Total magnetization in μB/f.u.: 0.00
Energy of formation from the pure elements in meV/atom: -296
N(E_F) in states/eV/f.u.: 1.06
Energy in eV for the cell shown: -13.7

Cell: 2.8338 3.7526 5.7408 Å, 90.00 90.77 90.00°
Closest atoms and distances in Å follow each position.
Space group P2/m (No. 10)
Asymmetric unit:
Li 0.0000 0.0000 0.0000 [1 per cell]  8 Au 2.74-2.76, 2 Li 2.83, 2 Cu 2.87
Cu 0.0000 0.0000 0.5000 [1 per cell]  8 Au 2.75-2.76, 2 Cu 2.83, 2 Li 2.87
Au 0.4996 0.5000 0.2499 [2 per cell]  4 Li 2.74-2.76, 4 Cu 2.75-2.76, 4 Au 2.83-2.87


A plane-wave DFT calculation with PBE was carried out for a relaxed structure of LiCu3Au.

Calculated values
Total magnetization in μB/f.u.: 0.00
Energy of formation from the pure elements in meV/atom: 537
N(E_F) in states/eV/f.u.: 2.12
Energy in eV for the cell shown: -14.8

Cell: 4.1005 4.1005 4.1005 Å, 90.00 90.00 90.00°
Closest atoms and distances in Å follow each position.
Space group Pm-3m (No. 221)
Asymmetric unit:
Li 0.0000 0.0000 0.0000 [1 per cell]  6 Cu 2.05
Cu 0.0000 0.0000 0.5000 [3 per cell]  2 Li 2.05
Au 0.5000 0.5000 0.5000 [1 per cell]  12 Cu 2.90


A plane-wave DFT calculation with PBE was carried out for a relaxed structure of LiCu2Au.

Calculated values
Total magnetization in μB/f.u.: 0.00
Energy of formation from the pure elements in meV/atom: -165
N(E_F) in states/eV/f.u.: 1.28
Energy in eV for the cell shown: -56.2

Cell: 6.0255 6.0255 6.0255 Å, 90.00 90.00 90.00°
Closest atoms and distances in Å follow each position.
Space group F-43m (No. 216)
Asymmetric unit:
Li 0.0000 0.0000 0.0000 [4 per cell]  4 Cu 2.61, 4 Au 2.61
Cu 0.0000 0.0000 0.5000 [4 per cell]  4 Cu 2.61, 4 Au 2.61
Cu 0.2500 0.2500 0.2500 [4 per cell]  4 Li 2.61, 4 Cu 2.61
Au 0.2500 0.2500 0.7500 [4 per cell]  4 Li 2.61, 4 Cu 2.61